[1]
{
  "formula": "CaAc3Pm2Te6",
  "functional": "PBE",
  "state": "optimized geometry",
  "raw_formation_energy_mev_per_atom": -1482,
  "space_group": "No. 12",
  "cell": [[10.050, -2.290, 0.000], [10.050, 2.290, 0.000], [-2.169, 0.000, 9.009]],
  "species": ["Ca", "Ac", "Ac", "Ac", "Pm", "Pm", "Te", "Te", "Te", "Te", "Te", "Te"],
  "fractional_positions": [[0.000, 0.000, 0.000], [0.000, 0.000, 0.500], [0.332, 0.332, 0.168], [0.668, 0.668, 0.832], [0.329, 0.329, 0.659], [0.671, 0.671, 0.341], [0.161, 0.161, 0.093], [0.168, 0.168, 0.575], [0.495, 0.495, 0.761], [0.505, 0.505, 0.239], [0.832, 0.832, 0.425], [0.839, 0.839, 0.907]]
}

[2]
{
  "formula": "PrHo4Hg2",
  "functional": "PBE",
  "state": "optimized geometry",
  "space_group": "No. 166",
  "formation_energy_ev_per_atom": 0.025,
  "cell": [[2.511, 1.450, 10.362], [-2.511, 1.450, 10.362], [0.000, -2.899, 10.362]],
  "species": ["Pr", "Ho", "Ho", "Ho", "Ho", "Hg", "Hg"],
  "fractional_positions": [[0.000, 0.000, 0.000], [0.202, 0.202, 0.202], [0.395, 0.395, 0.395], [0.605, 0.605, 0.605], [0.798, 0.798, 0.798], [0.102, 0.102, 0.102], [0.898, 0.898, 0.898]]
}

[3]
{
  "formula": "RuPtBr2",
  "functional": "PBE",
  "state": "optimized geometry",
  "raw_formation_energy_mev_per_atom": 429,
  "space_group": "No. 71",
  "de_polymorph_mev_per_atom": 273.4,
  "cell": [[-1.552, 2.285, 6.864], [1.552, -2.285, 6.864], [1.552, 2.285, -6.864]],
  "species": ["Ru", "Pt", "Br", "Br"],
  "fractional_positions": [[0.000, 0.000, 0.000], [0.500, 0.500, 0.000], [0.145, 0.645, 0.500], [0.855, 0.355, 0.500]]
}

[4]
{
  "formula": "CsZr3F",
  "functional": "PBE",
  "state": "optimized geometry",
  "raw_formation_energy_mev_per_atom": 287,
  "space_group": "No. 221",
  "cell": [[4.836, 0.000, 0.000], [0.000, 4.836, 0.000], [0.000, 0.000, 4.836]],
  "species": ["Cs", "Zr", "Zr", "Zr", "F"],
  "fractional_positions": [[0.000, 0.000, 0.000], [0.000, 0.500, 0.500], [0.500, 0.000, 0.500], [0.500, 0.500, 0.000], [0.500, 0.500, 0.500]]
}

[5]
{
  "formula": "AlOs2Pb",
  "functional": "PBE",
  "state": "optimized geometry",
  "space_group": "No. 8",
  "de_polymorph_mev_per_atom": 237.3,
  "formation_energy_ev_per_atom": 0.534,
  "cell": [[4.367, -1.501, 0.000], [4.367, 1.501, 0.000], [-1.005, 0.000, 5.467]],
  "species": ["Al", "Os", "Os", "Pb"],
  "fractional_positions": [[0.000, 0.000, 0.000], [0.263, 0.263, 0.841], [0.527, 0.527, 0.633], [0.770, 0.770, 0.340]]
}

[6]
{
  "formula": "Tb2Er12Th5",
  "functional": "PBE",
  "state": "optimized geometry",
  "space_group": "No. 12",
  "de_polymorph_mev_per_atom": 54.5,
  "formation_energy_ev_per_atom": 0.216,
  "cell": [[9.283, -3.508, 0.000], [9.283, 3.508, 0.000], [-4.001, 0.000, 9.329]],
  "species": ["Tb", "Tb", "Er", "Er", "Er", "Er", "Er", "Er", "Er", "Er", "Er", "Er", "Er", "Er", "Th", "Th", "Th", "Th", "Th"],
  "fractional_positions": [[0.215, 0.785, 0.000], [0.785, 0.215, 0.000], [0.004, 0.004, 0.325], [0.085, 0.582, 0.484], [0.097, 0.589, 0.137], [0.411, 0.903, 0.863], [0.418, 0.915, 0.516], [0.472, 0.472, 0.763], [0.528, 0.528, 0.237], [0.582, 0.085, 0.484], [0.589, 0.097, 0.137], [0.903, 0.411, 0.863], [0.915, 0.418, 0.516], [0.996, 0.996, 0.675], [0.179, 0.179, 0.210], [0.313, 0.313, 0.818], [0.500, 0.500, 0.500], [0.687, 0.687, 0.182], [0.821, 0.821, 0.790]]
}

[7]
{
  "formula": "LiSc2AlGe",
  "functional": "PBE",
  "state": "optimized geometry",
  "space_group": "No. 123",
  "formation_energy_ev_per_atom": 0.372,
  "cell": [[5.199, 0.000, 0.000], [0.000, 5.199, 0.000], [0.000, 0.000, 4.776]],
  "species": ["Li", "Sc", "Sc", "Al", "Ge"],
  "fractional_positions": [[0.000, 0.000, 0.000], [0.000, 0.500, 0.500], [0.500, 0.000, 0.500], [0.500, 0.500, 0.500], [0.500, 0.500, 0.000]]
}

[8]
{
  "formula": "LuThGa2",
  "functional": "PBE",
  "state": "optimized geometry",
  "space_group": "No. 166",
  "de_polymorph_mev_per_atom": 175.3,
  "formation_energy_ev_per_atom": -0.313,
  "cell": [[1.814, 1.047, 8.874], [-1.814, 1.047, 8.874], [0.000, -2.094, 8.874]],
  "species": ["Lu", "Th", "Ga", "Ga"],
  "fractional_positions": [[0.000, 0.000, 0.000], [0.500, 0.500, 0.500], [0.255, 0.255, 0.255], [0.745, 0.745, 0.745]]
}